# 1
DFT (PBE-GGA) results for KRb2ZnF6 after structural relaxation.

extended XYZ file:
```
20
Lattice="5.977 0.000 0.000 -2.988 5.176 0.000 0.000 0.000 11.195" Properties=species:S:1:pos:R:3 pbc="T T T"
F 0.727 1.400 1.616
F -2.139 3.847 1.616
F 1.413 5.105 1.616
F -0.727 1.400 3.981
F 2.139 3.847 3.981
F -1.413 5.105 3.981
F 4.401 0.071 7.214
F 0.849 1.329 7.214
F 3.715 3.776 7.214
F 1.576 0.071 9.578
F 5.128 1.329 9.578
F 2.262 3.776 9.578
K 0.000 3.451 2.799
K 2.989 1.725 8.396
Rb 2.989 1.725 0.418
Rb 2.989 1.725 5.179
Rb 0.000 3.451 6.016
Rb 0.000 3.451 10.777
Zn 0.000 0.000 2.799
Zn 0.000 0.000 8.396
```

## Properties
calculated density: 3.73 Mg/m³
E: -3.81 eV/atom

# 2
DFT (PBE-GGA) results for K2RbZnF6 after structural relaxation.

extended XYZ file:
```
10
Lattice="-2.924 2.924 4.462 2.924 -2.924 4.462 2.924 2.924 -4.462" Properties=species:S:1:pos:R:3 pbc="T T T"
F 0.000 0.000 1.978
F 0.000 0.000 6.946
F 2.262 -1.130 4.462
F 1.794 0.661 0.000
F 1.130 2.262 4.462
F 0.661 4.053 0.000
K 0.000 2.924 2.231
K 2.924 0.000 2.231
Rb 0.000 0.000 4.462
Zn 0.000 0.000 0.000
```

## Properties
calculated density: 3.73 Mg/m³
energy relative to the lowest polymorph listed for this composition: 0.018 eV/atom

# 3
DFT (PBE-GGA) results for K2RbZnF6 after structural relaxation.

extended XYZ file:
```
10
Lattice="-3.096 3.096 4.381 3.096 -3.096 4.381 3.096 3.096 -4.381" Properties=species:S:1:pos:R:3 pbc="T T T"
F -1.366 1.366 4.381
F 0.000 0.000 2.448
F 0.000 0.000 6.314
F 1.366 -1.366 4.381
F 1.366 1.366 4.381
F 1.730 1.730 0.000
K 0.000 3.096 2.191
K 3.096 0.000 2.191
Rb 0.000 0.000 0.000
Zn 0.000 0.000 4.381
```

## Properties
calculated density: 3.39 Mg/m³
energy relative to the lowest polymorph listed for this composition: 0.012 eV/atom

# 4
DFT (PBE-GGA) results for K2RbZnF6 after structural relaxation.

extended XYZ file:
```
10
Lattice="5.861 0.000 0.000 -2.912 5.111 0.000 -0.015 -3.294 5.216" Properties=species:S:1:pos:R:3 pbc="T T T"
F -1.179 4.571 0.660
F 0.300 1.760 0.773
F 5.062 -0.581 1.686
F -2.127 2.398 3.529
F 2.634 0.056 4.443
F 4.114 -2.754 4.556
K 2.949 1.763 1.227
K -0.015 0.054 3.989
Rb 2.923 -1.647 2.608
Zn 0.000 0.000 0.000
```

## Properties
calculated density: 3.65 Mg/m³
energy relative to the lowest polymorph listed for this composition: 0.000 eV/atom

# 5
DFT (PBE-GGA) results for K2RbZnF6 after structural relaxation.

extended XYZ file:
```
20
Lattice="-2.891 -3.772 10.005 -0.964 -8.559 6.964 2.981 -4.839 9.507" Properties=species:S:1:pos:R:3 pbc="T T T"
F -2.044 -8.049 11.376
F -0.631 -7.743 9.143
F -1.495 -5.596 10.507
F -2.012 -11.096 16.192
F -1.803 -8.581 15.352
F -0.828 -11.005 13.813
F -0.046 -6.166 12.663
F 0.929 -8.589 11.124
F 1.139 -6.074 10.284
F -0.242 -9.427 17.333
F 0.622 -11.575 15.969
F 1.170 -9.122 15.100
K -0.097 -1.904 2.936
K -0.253 -4.968 7.660
K -0.621 -12.203 18.816
K -0.777 -15.267 23.540
Rb 0.000 0.000 0.000
Rb -0.437 -8.585 13.238
Zn -0.360 -7.069 10.900
Zn -0.514 -10.102 15.576
```

## Properties
calculated density: 3.49 Mg/m³
energy relative to the lowest polymorph listed for this composition: 0.109 eV/atom

# 6
DFT (PBE-GGA) results for K3ReF7 after structural relaxation.

extended XYZ file:
```
11
Lattice="4.121 -3.960 0.000 4.121 3.960 0.000 -3.493 0.000 5.419" Properties=species:S:1:pos:R:3 pbc="T T T"
F 6.400 0.000 0.755
F 4.473 -2.493 1.195
F 4.473 2.493 1.195
F 2.774 0.000 1.892
F 0.157 -2.450 4.157
F 0.157 2.450 4.157
F -1.750 0.000 4.518
K 2.296 -2.156 2.657
K 2.296 2.156 2.657
K 0.599 0.000 5.309
Re 4.716 0.000 5.373
```

## Properties
calculated density: 4.10 Mg/m³
E: -5.06 eV/atom

# 7
DFT (PBE-GGA) results for KTa4S5F after structural relaxation.

extended XYZ file:
```
11
Lattice="-2.189 -0.295 -4.320 -1.193 -4.612 0.920 -7.312 2.595 3.528" Properties=species:S:1:pos:R:3 pbc="T T T"
F -3.656 1.297 1.764
K -5.347 -1.156 0.064
S -1.691 -2.454 -1.700
S -3.173 0.590 -1.157
S -2.675 -1.568 1.463
S -6.328 1.710 0.365
S -5.830 -0.449 2.985
Ta -1.094 -0.148 -2.160
Ta -0.597 -2.306 0.460
Ta -1.646 0.584 0.794
Ta -5.666 2.011 2.733
```

## Properties
calculated density: 7.80 Mg/m³
E: -7.54 eV/atom

# 8
DFT (PBE-GGA) results for KTa4Se5F after structural relaxation.

extended XYZ file:
```
11
Lattice="5.043 0.000 0.000 0.000 5.043 0.000 0.000 0.000 8.794" Properties=species:S:1:pos:R:3 pbc="T T T"
F 0.000 0.000 4.397
K 2.521 2.521 4.397
Se 2.521 2.521 0.000
Se 2.521 0.000 2.549
Se 0.000 2.521 2.549
Se 2.521 0.000 6.245
Se 0.000 2.521 6.245
Ta 2.521 0.000 0.000
Ta 0.000 2.521 0.000
Ta 0.000 0.000 1.842
Ta 0.000 0.000 6.952
```

## Properties
calculated density: 8.74 Mg/m³
E: -6.95 eV/atom